VASP calculation (PBE) on an optimized crystal structure of LiHfCoBi.

Summary:
Energy   -5.80 eV per atom
Calculated volume   16.56 Å³ per atom

The structure in CIF format:
```
data_LiHfCoBi
_symmetry_space_group_name_H-M 'F -4 3 m'
_symmetry_Int_Tables_number 216
_symmetry_space_group_name_Hall 'F -4 2 3'
_cell_length_a 6.423
_cell_length_b 6.423
_cell_length_c 6.423
_cell_angle_alpha 90.00
_cell_angle_beta 90.00
_cell_angle_gamma 90.00
loop_
_atom_site_label
_atom_site_fract_x
_atom_site_fract_y
_atom_site_fract_z
_atom_site_occupancy
Li1 0.000 0.000 0.000 1
Hf1 0.250 0.250 0.750 1
Co1 0.000 0.000 0.500 1
Bi1 0.250 0.250 0.250 1
```